(1)
## SrLiCaAu (PBE-GGA)

Data for a relaxed SrLiCaAu crystal.

```
SrLiCaAu
1.0
4.510 0.000 0.000
0.000 2.210 6.010
0.000 -2.210 6.010
Sr Li Ca Au
1 1 1 1
direct
0.000 0.000 0.000
0.000 0.706 0.706
0.500 0.284 0.284
0.500 0.587 0.587
```

Output
ΔH_f (0 K) = -0.4309 eV/atom
Crystal system = orthorhombic
ΔE to the lowest computed polymorph = 0 meV/atom
Density of states at the Fermi level = 2.27 states/eV/cell
Symmetry = No. 38

***

(2)
## Be3PdCl (PBE-GGA)

Data for a relaxed Be3PdCl crystal.

```
Be3PdCl
1.0
4.389 0.000 0.000
0.000 4.389 0.000
0.000 0.000 4.389
Be Pd Cl
3 1 1
direct
0.000 0.000 0.500
0.000 0.500 0.000
0.500 0.000 0.000
0.000 0.000 0.000
0.500 0.500 0.500
```

Output
Crystal system = cubic
ΔE to the lowest computed polymorph = 0 meV/atom
Density of states at the Fermi level = 2.53 states/eV/cell
Symmetry = No. 221

***

(3)
## Th2Pd4S5 (PBE-GGA)

Data for a relaxed Th2Pd4S5 crystal.

```
Th2Pd4S5
1.0
2.022 1.168 16.065
-2.022 1.168 16.065
0.000 -2.335 16.065
Th Pd S
2 4 5
direct
0.131 0.131 0.131
0.869 0.869 0.869
0.316 0.316 0.316
0.419 0.419 0.419
0.581 0.581 0.581
0.684 0.684 0.684
0.236 0.236 0.236
0.367 0.367 0.367
0.500 0.500 0.500
0.633 0.633 0.633
0.764 0.764 0.764
```

Output
Uncorrected energy = -5.98 eV/atom
Crystal system = trigonal
Density of states at the Fermi level = 6.20 states/eV/cell
Symmetry = No. 166

***

(4)
## Ce2Ge4IrPd3 (PBE-GGA)

Data for a relaxed Ce2Ge4IrPd3 crystal.

```
Ce2Ge4IrPd3
1.0
4.304 0.000 0.000
0.000 4.304 0.000
0.000 0.000 10.231
Ce Ge Ir Pd
2 4 1 3
direct
0.000 0.500 0.250
0.500 0.000 0.750
0.000 0.000 0.000
0.000 0.500 0.630
0.500 0.000 0.370
0.500 0.500 0.000
0.000 0.000 0.500
0.000 0.500 0.870
0.500 0.000 0.130
0.500 0.500 0.500
```

Output
ΔH_f (0 K) = -0.7564 eV/atom
Crystal system = tetragonal
Density of states at the Fermi level = 13.77 states/eV/cell
Symmetry = No. 115

***

(5)
## La2PmPrSm5 (PBE-GGA)

Data for a relaxed La2PmPrSm5 crystal.

```
La2PmPrSm5
1.0
8.836 0.000 0.000
0.000 8.836 0.000
0.000 0.000 8.159
La Pm Pr Sm
4 2 2 10
direct
0.119 0.381 0.000
0.381 0.881 0.000
0.619 0.119 0.000
0.881 0.619 0.000
0.000 0.500 0.500
0.500 0.000 0.500
0.000 0.000 0.500
0.500 0.500 0.500
0.000 0.000 0.000
0.215 0.715 0.278
0.215 0.715 0.722
0.285 0.215 0.278
0.285 0.215 0.722
0.500 0.500 0.000
0.715 0.785 0.278
0.715 0.785 0.722
0.785 0.285 0.278
0.785 0.285 0.722
```

Output
ΔH_f (0 K) = 0.2367 eV/atom
Crystal system = tetragonal
Density of states at the Fermi level = 31.12 states/eV/cell
Symmetry = No. 127

***

(6)
## Ca4UN5 (PBE-GGA)

Data for a relaxed Ca4UN5 crystal.

```
Ca4UN5
1.0
-3.904 3.904 2.459
3.904 -3.904 2.459
3.904 3.904 -2.459
Ca U N
4 1 5
direct
0.101 0.702 0.803
0.298 0.101 0.399
0.702 0.899 0.601
0.899 0.298 0.197
0.499 0.499 0.000
0.003 0.003 0.000
0.240 0.418 0.658
0.418 0.760 0.177
0.583 0.240 0.823
0.760 0.583 0.342
```

Output
Uncorrected energy = -7.22 eV/atom
Crystal system = tetragonal
Density of states at the Fermi level = 12.14 states/eV/cell
Symmetry = No. 79

***

(7)
## RbMn3Rh (PBE-GGA)

Data for a relaxed RbMn3Rh crystal.

```
RbMn3Rh
1.0
5.043 0.000 0.000
0.000 5.043 0.000
0.000 0.000 5.043
Rb Mn Rh
1 3 1
direct
0.000 0.000 0.000
0.000 0.500 0.500
0.500 0.000 0.500
0.500 0.500 0.000
0.500 0.500 0.500
```

Output
ΔH_f (0 K) = 0.7670 eV/atom
Crystal system = cubic
ΔE to the lowest computed polymorph = 0 meV/atom
Density of states at the Fermi level = 2.84 states/eV/cell
Symmetry = No. 221

***

(8)
## Nb3Te4Se2 (PBE-GGA)

Data for a relaxed Nb3Te4Se2 crystal.

```
Nb3Te4Se2
1.0
3.599 0.000 0.000
-1.800 3.117 0.000
0.000 0.000 22.067
Nb Te Se
3 4 2
direct
0.000 0.000 0.000
0.000 0.000 0.349
0.667 0.333 0.681
0.000 0.000 0.595
0.000 0.000 0.766
0.667 0.333 0.263
0.667 0.333 0.434
0.667 0.333 0.075
0.667 0.333 0.925
```

Output
Uncorrected energy = -6.09 eV/atom
Crystal system = trigonal
Density of states at the Fermi level = 10.43 states/eV/cell
Symmetry = No. 156

***

(9)
## CsCdInBr2 (PBE-GGA)

Data for a relaxed CsCdInBr2 crystal.

```
CsCdInBr2
1.0
6.171 0.000 0.000
0.000 6.171 0.000
0.000 0.000 5.530
Cs Cd In Br
1 1 1 2
direct
0.000 0.000 0.000
0.500 0.500 0.000
0.500 0.500 0.500
0.000 0.500 0.500
0.500 0.000 0.500
```

Output
Uncorrected energy = -2.39 eV/atom
Crystal system = tetragonal
Density of states at the Fermi level = 0.77 states/eV/cell
Symmetry = No. 123

***

(10)
## CdGa3Sn (PBE-GGA)

Data for a relaxed CdGa3Sn crystal.

```
CdGa3Sn
1.0
5.166 0.000 0.000
0.000 5.166 0.000
0.000 0.000 5.166
Cd Ga Sn
1 3 1
direct
0.000 0.000 0.000
0.000 0.000 0.500
0.000 0.500 0.000
0.500 0.000 0.000
0.500 0.500 0.500
```

Output
ΔH_f (0 K) = 0.4659 eV/atom
Crystal system = cubic
ΔE to the lowest computed polymorph = 422 meV/atom
Density of states at the Fermi level = 5.09 states/eV/cell
Symmetry = No. 221

***

(11)
## Dy5Th3Sc2 (PBE-GGA)

Data for a relaxed Dy5Th3Sc2 crystal.

```
Dy5Th3Sc2
1.0
5.318 -8.372 0.000
5.318 8.372 0.000
-5.316 0.000 7.025
Dy Th Sc
10 6 4
direct
0.033 0.967 0.750
0.127 0.379 0.747
0.223 0.777 0.750
0.283 0.717 0.250
0.379 0.127 0.247
0.621 0.873 0.753
0.717 0.283 0.750
0.777 0.223 0.250
0.873 0.621 0.253
0.967 0.033 0.250
0.015 0.264 0.025
0.264 0.015 0.525
0.478 0.522 0.250
0.522 0.478 0.750
0.736 0.985 0.475
0.985 0.736 0.975
0.227 0.482 0.457
0.482 0.227 0.957
0.518 0.773 0.043
0.773 0.518 0.543
```

Output
ΔH_f (0 K) = 0.2137 eV/atom
Crystal system = monoclinic
Density of states at the Fermi level = 28.02 states/eV/cell
Symmetry = No. 15

***

(12)
## Rb2MgTaBr6 (PBE-GGA)

Data for a relaxed Rb2MgTaBr6 crystal.

```
Rb2MgTaBr6
1.0
0.000 5.407 5.407
5.407 0.000 5.407
5.407 5.407 0.000
Rb Mg Ta Br
2 1 1 6
direct
0.250 0.250 0.250
0.750 0.750 0.750
0.000 0.000 0.000
0.500 0.500 0.500
0.250 0.250 0.750
0.250 0.750 0.250
0.250 0.750 0.750
0.750 0.250 0.250
0.750 0.250 0.750
0.750 0.750 0.250
```

Output
Uncorrected energy = -3.63 eV/atom
Crystal system = cubic
Density of states at the Fermi level = 1.20 states/eV/cell
Symmetry = No. 225